Record 1
Pm8SiGe3I4 PBE optimized geometry; E_tot = -4.973 eV/atom; crystal system = trigonal; uncorrected formation energy = -1.005 eV/atom; SG = R-3m, No. 166
1.0
-4.868 3.976 -5.944
5.040 -3.733 -6.624
-3.689 -5.248 5.805
Pm Ge I Si
8 3 4 1
direct
0.735 0.698 0.967
0.769 0.302 0.033
0.267 0.302 0.534
0.769 0.302 0.537
0.265 0.302 0.033
0.231 0.698 0.967
0.231 0.698 0.463
0.733 0.698 0.466
0.500 0.500 0.000
0.500 0.500 0.500
0.000 0.500 0.500
0.000 0.000 0.500
0.500 0.000 0.500
0.000 0.000 0.000
0.500 0.000 0.000
0.000 0.500 0.000

***

Record 2
Pm6Ge2TeI3 PBE optimized geometry; E_tot = -4.856 eV/atom; crystal system = monoclinic; uncorrected formation energy = -1.062 eV/atom; SG = C2/m, No. 12
1.0
-1.078 -3.962 1.534
5.441 1.314 7.221
-8.325 5.427 1.903
Pm Ge I Te
6 2 3 1
direct
0.665 0.130 0.329
0.981 0.757 0.961
0.321 0.442 0.642
0.679 0.558 0.358
0.019 0.243 0.039
0.335 0.870 0.671
0.831 0.661 0.662
0.169 0.339 0.338
0.164 0.835 0.329
0.836 0.165 0.671
0.500 0.500 0.000
0.500 0.000 0.000

***

Record 3
Pm8Ge3TeI4 PBE optimized geometry; E_tot = -4.887 eV/atom; crystal system = trigonal; uncorrected formation energy = -1.062 eV/atom; SG = R-3m, No. 166
1.0
8.772 0.000 0.000
0.000 9.115 0.239
-4.386 -4.385 6.204
Pm I Ge Te
8 4 3 1
direct
0.268 0.303 0.535
0.245 0.701 0.489
0.245 0.701 0.957
0.755 0.299 0.511
0.288 0.299 0.043
0.712 0.701 0.957
0.755 0.299 0.043
0.732 0.697 0.465
0.500 0.000 0.000
0.500 0.000 0.500
0.000 0.000 0.500
0.000 0.000 0.000
0.500 0.500 0.500
0.000 0.500 0.500
0.500 0.500 0.000
0.000 0.500 0.000

***

Record 4
Pm6TlGe2I3 PBE optimized geometry; E_tot = -4.602 eV/atom; crystal system = monoclinic; uncorrected formation energy = -0.873 eV/atom; SG = C2/m, No. 12
1.0
4.345 0.000 0.000
0.000 9.219 0.190
-2.173 -2.798 9.483
Ge I Pm Tl
2 3 6 1
direct
0.832 0.659 0.665
0.168 0.341 0.335
0.500 0.500 0.000
0.166 0.836 0.332
0.834 0.164 0.668
0.321 0.439 0.642
0.985 0.755 0.971
0.663 0.127 0.325
0.015 0.245 0.029
0.679 0.561 0.358
0.337 0.873 0.675
0.500 0.000 0.000

***

Record 5
PmTlGe2I8 PBE optimized geometry; E_tot = -3.076 eV/atom; crystal system = triclinic; uncorrected formation energy = -0.680 eV/atom; SG = P-1, No. 2
1.0
7.719 0.144 0.253
0.200 7.244 0.187
0.323 0.260 9.551
Ge I Pm Tl
2 8 1 1
direct
0.528 0.535 0.258
0.472 0.465 0.742
0.836 0.258 0.228
0.671 0.755 0.021
0.172 0.747 0.228
0.329 0.245 0.979
0.639 0.725 0.471
0.361 0.275 0.529
0.164 0.742 0.772
0.828 0.253 0.772
0.000 0.000 0.000
0.000 0.000 0.500

***

Record 6
Pr2GeI PBE optimized geometry; E_tot = -4.968 eV/atom; crystal system = trigonal; uncorrected formation energy = -1.037 eV/atom; SG = R-3m, No. 166
1.0
-4.212 -1.065 0.630
3.168 -2.325 1.958
-0.996 6.665 4.608
Ge Pr I
1 2 1
direct
0.500 0.000 0.000
0.767 0.533 0.800
0.233 0.467 0.200
0.000 0.000 0.500